This record from Alexandria describes a geometry-optimized Pr2Y3Er6 structure. The functional is PBE.

Geometry as POSCAR:
```
Pr2Y3Er6
1.0
3.053 -5.295 0.000
3.053 5.295 0.000
-2.049 0.000 11.529
Pr Y Er
2 3 6
Direct
0.167 0.833 0.000 Pr
0.833 0.167 0.000 Pr
0.000 0.000 0.500 Y
0.335 0.665 0.500 Y
0.665 0.335 0.500 Y
0.082 0.416 0.747 Er
0.251 0.251 0.253 Er
0.416 0.082 0.747 Er
0.584 0.918 0.253 Er
0.749 0.749 0.747 Er
0.918 0.584 0.253 Er
```

Output
Symmetry ... C2/m, No. 12
Formation energy ... 188 meV/atom
Energy above the lowest structure with this stoichiometry ... 0.0 kJ per mole of atoms
Density of states at the Fermi level ... 18.45 states/eV/cell

This record from Alexandria describes a geometry-optimized Pr2Y2Er structure. The functional is PBE.

Geometry as POSCAR:
```
Pr2Y2Er
1.0
8.000 -3.167 0.000
8.000 3.167 0.000
-1.657 0.000 6.662
Pr Y Er
4 4 2
Direct
0.018 0.182 0.444 Pr
0.182 0.018 0.944 Pr
0.818 0.982 0.056 Pr
0.982 0.818 0.556 Pr
0.221 0.381 0.848 Y
0.381 0.221 0.348 Y
0.619 0.779 0.652 Y
0.779 0.619 0.152 Y
0.416 0.584 0.250 Er
0.584 0.416 0.750 Er
```

Output
Symmetry ... C2/c, No. 15
Formation energy ... 18 meV/atom
Energy above the lowest structure with this stoichiometry ... 0.0 kJ per mole of atoms
Density of states at the Fermi level ... 16.69 states/eV/cell

This record from Alexandria describes a geometry-optimized PrYEr5 structure. The functional is PBE.

Geometry as POSCAR:
```
PrYEr5
1.0
5.769 0.000 0.000
0.000 8.618 0.000
0.000 0.000 11.796
Pr Y Er
2 2 10
Direct
0.000 0.000 0.000 Pr
0.500 0.500 0.500 Pr
0.000 0.000 0.500 Y
0.500 0.500 0.000 Y
0.000 0.000 0.253 Er
0.000 0.000 0.747 Er
0.000 0.321 0.500 Er
0.000 0.500 0.000 Er
0.000 0.679 0.500 Er
0.500 0.000 0.500 Er
0.500 0.179 0.000 Er
0.500 0.500 0.247 Er
0.500 0.500 0.753 Er
0.500 0.821 0.000 Er
```

Output
Symmetry ... Immm, No. 71
Formation energy ... 1145 meV/atom
Energy above the lowest structure with this stoichiometry ... 91.2 kJ per mole of atoms
Density of states at the Fermi level ... 17.07 states/eV/cell

This record from Alexandria describes a geometry-optimized Pr3Y2Er6 structure. The functional is PBE.

Geometry as POSCAR:
```
Pr3Y2Er6
1.0
-2.379 2.379 16.712
2.379 -2.379 16.712
2.379 2.379 -16.712
Pr Y Er
3 2 6
Direct
0.000 0.000 0.000 Pr
0.205 0.205 0.000 Pr
0.795 0.795 0.000 Pr
0.453 0.453 0.000 Y
0.547 0.547 0.000 Y
0.121 0.621 0.500 Er
0.309 0.309 0.000 Er
0.379 0.879 0.500 Er
0.621 0.121 0.500 Er
0.691 0.691 0.000 Er
0.879 0.379 0.500 Er
```

Output
Symmetry ... I4/mmm, No. 139
Formation energy ... 275 meV/atom
Energy above the lowest structure with this stoichiometry ... 6.5 kJ per mole of atoms
Density of states at the Fermi level ... 17.35 states/eV/cell

This record from Alexandria describes a geometry-optimized Pr12Y4Er structure. The functional is PBE.

Geometry as POSCAR:
```
Pr12Y4Er
1.0
-5.296 5.296 5.296
5.296 -5.296 5.296
5.296 5.296 -5.296
Pr Y Er
12 4 1
Direct
0.000 0.291 0.291 Pr
0.000 0.709 0.709 Pr
0.250 0.500 0.750 Pr
0.250 0.750 0.500 Pr
0.291 0.000 0.291 Pr
0.291 0.291 0.000 Pr
0.500 0.250 0.750 Pr
0.500 0.750 0.250 Pr
0.709 0.000 0.709 Pr
0.709 0.709 0.000 Pr
0.750 0.250 0.500 Pr
0.750 0.500 0.250 Pr
0.000 0.000 0.500 Y
0.000 0.500 0.000 Y
0.500 0.000 0.000 Y
0.500 0.500 0.500 Y
0.000 0.000 0.000 Er
```

Output
Symmetry ... Im-3m, No. 229
Formation energy ... 114 meV/atom
Density of states at the Fermi level ... 16.89 states/eV/cell

This record from Alexandria describes a geometry-optimized Pr3YEr7 structure. The functional is PBE.

Geometry as POSCAR:
```
Pr3YEr7
1.0
-2.919 5.596 5.604
2.919 -5.596 5.604
2.919 5.596 -5.604
Pr Y Er
3 1 7
Direct
0.000 0.000 0.000 Pr
0.214 0.500 0.714 Pr
0.786 0.500 0.286 Pr
0.500 0.000 0.500 Y
0.016 0.210 0.806 Er
0.206 0.706 0.500 Er
0.404 0.210 0.194 Er
0.500 0.500 0.000 Er
0.596 0.790 0.806 Er
0.794 0.294 0.500 Er
0.984 0.790 0.194 Er
```

Output
Symmetry ... Immm, No. 71
Formation energy ... 275 meV/atom
Energy above the lowest structure with this stoichiometry ... 14.6 kJ per mole of atoms
Density of states at the Fermi level ... 14.27 states/eV/cell

This record from Alexandria describes a geometry-optimized Pr2Y6Er structure. The functional is PBE.

Geometry as POSCAR:
```
Pr2Y6Er
1.0
8.324 -5.856 0.000
8.324 5.856 0.000
-0.744 0.000 6.064
Pr Y Er
4 12 2
Direct
0.064 0.273 0.075 Pr
0.273 0.064 0.575 Pr
0.727 0.936 0.425 Pr
0.936 0.727 0.925 Pr
0.090 0.813 0.486 Y
0.158 0.421 0.641 Y
0.187 0.910 0.014 Y
0.249 0.525 0.179 Y
0.421 0.158 0.141 Y
0.475 0.751 0.321 Y
0.525 0.249 0.679 Y
0.579 0.842 0.859 Y
0.751 0.475 0.821 Y
0.813 0.090 0.986 Y
0.842 0.579 0.359 Y
0.910 0.187 0.514 Y
0.400 0.600 0.750 Er
0.600 0.400 0.250 Er
```

Output
Symmetry ... C2/c, No. 15
Formation energy ... 96 meV/atom
Energy above the lowest structure with this stoichiometry ... 0.0 kJ per mole of atoms
Density of states at the Fermi level ... 27.28 states/eV/cell

This record from Alexandria describes a geometry-optimized Pr4YEr5 structure. The functional is PBE.

Geometry as POSCAR:
```
Pr4YEr5
1.0
-5.372 5.372 2.976
5.372 -5.372 2.976
5.372 5.372 -2.976
Pr Y Er
4 1 5
Direct
0.000 0.324 0.324 Pr
0.000 0.676 0.676 Pr
0.324 0.000 0.324 Pr
0.676 0.000 0.676 Pr
0.756 0.756 0.000 Y
0.234 0.234 0.000 Er
0.301 0.301 0.622 Er
0.301 0.678 0.000 Er
0.678 0.301 0.000 Er
0.678 0.678 0.378 Er
```

Output
Symmetry ... I4mm, No. 107
Formation energy ... 240 meV/atom
Density of states at the Fermi level ... 12.52 states/eV/cell

This record from Alexandria describes a geometry-optimized Pr4Y6Er5 structure. The functional is PBE.

Geometry as POSCAR:
```
Pr4Y6Er5
1.0
2.535 -12.715 0.000
2.535 12.715 0.000
0.000 0.000 15.221
Pr Y Er
8 12 10
Direct
0.050 0.950 0.500 Pr
0.051 0.949 0.830 Pr
0.150 0.850 0.330 Pr
0.151 0.849 0.000 Pr
0.849 0.151 0.500 Pr
0.850 0.150 0.830 Pr
0.949 0.051 0.330 Pr
0.950 0.050 0.000 Pr
0.051 0.949 0.166 Y
0.249 0.751 0.830 Y
0.250 0.750 0.500 Y
0.349 0.651 0.000 Y
0.449 0.551 0.166 Y
0.449 0.551 0.498 Y
0.551 0.449 0.666 Y
0.551 0.449 0.998 Y
0.651 0.349 0.500 Y
0.750 0.250 0.000 Y
0.751 0.249 0.330 Y
0.949 0.051 0.666 Y
0.151 0.849 0.666 Er
0.251 0.749 0.165 Er
0.349 0.651 0.330 Er
0.349 0.651 0.666 Er
0.449 0.551 0.832 Er
0.551 0.449 0.332 Er
0.651 0.349 0.166 Er
0.651 0.349 0.830 Er
0.749 0.251 0.665 Er
0.849 0.151 0.166 Er
```

Output
Symmetry ... Cmc2_1, No. 36
Formation energy ... 24 meV/atom
Density of states at the Fermi level ... 45.19 states/eV/cell